Entry 1:
SmAl2Re2Si | PBE | optimized geometry

abc: 4.5270 4.5270 5.6422
angles: 90.00 90.00 90.00
Closest atoms and distances in Å follow each position.
Positions (direct):
Sm: 0.0000 0.0000 0.0000  2 Si 2.82
Al: 0.5000 0.5000 0.2409  4 Re 2.69, 2 Al 2.72-2.92
Al: 0.5000 0.5000 0.7591  4 Re 2.69, 2 Al 2.72-2.92
Re: 0.0000 0.5000 0.5000  2 Si 2.26
Re: 0.5000 0.0000 0.5000  2 Si 2.26
Si: 0.0000 0.0000 0.5000  4 Re 2.26

Output
Raw formation energy ... -0.11 eV per atom

Entry 2:
BaOs2Se | PBE | optimized geometry

abc: 3.0315 4.4565 6.5046
angles: 90.00 90.00 90.00
Closest atoms and distances in Å follow each position.
Positions (direct):
Ba: 0.0000 0.0000 0.0000  2 Ba 3.03, 2 Se 3.25
Os: 0.5000 0.5000 0.3215  1 Os 2.32
Os: 0.5000 0.5000 0.6785  1 Os 2.32
Se: 0.0000 0.0000 0.5000  8 Os 2.93, 2 Se 3.03, 2 Ba 3.25

Output
Raw formation energy ... 1.13 eV per atom

Entry 3:
NaScSi | PBE | optimized geometry

abc: 3.5888 4.9750 9.0672
angles: 80.97 89.67 68.91
Closest atoms and distances in Å follow each position.
Positions (direct):
Na: 0.0000 0.0000 0.0000  3 Sc 3.16-3.39, 3 Na 3.21-3.51
Na: 0.3150 0.3934 0.2295  2 Si 3.05, 1 Na 3.21
Sc: 0.0645 0.8863 0.5274  5 Si 2.63-2.85
Sc: 0.6991 0.6088 0.7847  4 Si 2.83-2.93, 2 Sc 3.05, 1 Na 3.16
Si: 0.3875 0.2355 0.6657  2 Si 2.49
Si: 0.7780 0.4599 0.4934  2 Si 2.49, 3 Sc 2.63-2.73

Output
Raw formation energy ... -0.15 eV per atom

Entry 4:
DyEr4Au5 | PBE | optimized geometry

abc: 3.5463 3.5463 18.1444
angles: 90.00 90.00 90.00
Closest atoms and distances in Å follow each position.
Positions (direct):
Dy: 0.0000 0.0000 0.0000  8 Au 3.12
Er: 0.0000 0.0000 0.2011  8 Au 3.08-3.09
Er: 0.0000 0.0000 0.4004  8 Au 3.09
Er: 0.0000 0.0000 0.5996  8 Au 3.09
Er: 0.0000 0.0000 0.7989  8 Au 3.08-3.09
Au: 0.5000 0.5000 0.1023  4 Er 3.08, 4 Dy 3.12
Au: 0.5000 0.5000 0.3009  8 Er 3.09
Au: 0.5000 0.5000 0.5000  8 Er 3.09
Au: 0.5000 0.5000 0.6991  8 Er 3.09
Au: 0.5000 0.5000 0.8977  4 Er 3.08, 4 Dy 3.12

Output
Calculated formation energy ... -0.880 eV/atom

Entry 5:
Pm4CuPSe2 | PBE | optimized geometry

abc: 7.2242 4.1287 7.2705
angles: 90.00 108.80 90.00
Closest atoms and distances in Å follow each position.
Positions (direct):
Pm: 0.2388 0.0000 0.2373  2 P 2.88, 1 Cu 2.94, 3 Se 2.96-3.02
Pm: 0.2470 0.5000 0.7561  1 P 2.89, 2 Cu 2.94, 3 Se 2.96-3.00
Pm: 0.7530 0.5000 0.2439  1 P 2.89, 2 Cu 2.94, 3 Se 2.96-3.00
Pm: 0.7612 0.0000 0.7627  2 P 2.88, 1 Cu 2.94, 3 Se 2.96-3.02
Cu: 0.5000 0.0000 0.0000  6 Pm 2.94
P: 0.0000 0.5000 0.0000  6 Pm 2.88-2.89
Se: 0.0000 0.0000 0.5000  6 Pm 2.96
Se: 0.5000 0.5000 0.5000  6 Pm 3.00-3.02

Output
Raw formation energy ... -1.35 eV per atom

Entry 6:
TlIr2PtO8 | PBE | optimized geometry

abc: 4.4863 4.4863 8.7555
angles: 90.93 90.93 87.85
Closest atoms and distances in Å follow each position.
Positions (direct):
Tl: 0.0000 0.0000 0.0000  2 O 2.68
Ir: 0.4786 0.4786 0.6908  4 O 1.78-1.99
Ir: 0.5214 0.5214 0.3092  4 O 1.78-1.99
Pt: 0.0000 0.0000 0.5000  6 O 2.04-2.05
O: 0.1728 0.7635 0.3169  1 Ir 1.87, 1 Pt 2.05
O: 0.2365 0.8272 0.6831  1 Ir 1.87, 1 Pt 2.05
O: 0.3149 0.3149 0.4961  2 Ir 1.99-2.13, 1 Pt 2.04
O: 0.3766 0.3766 0.8779  1 Ir 1.78
O: 0.6234 0.6234 0.1221  1 Ir 1.78
O: 0.6851 0.6851 0.5039  2 Ir 1.99-2.13, 1 Pt 2.04
O: 0.7635 0.1728 0.3169  1 Ir 1.87, 1 Pt 2.05
O: 0.8272 0.2365 0.6831  1 Ir 1.87, 1 Pt 2.05

Output
Raw formation energy ... -0.41 eV per atom

Entry 7:
NaTl2Hg8Au | PBE | optimized geometry

abc: 5.8343 5.9627 10.4498
angles: 75.12 82.35 67.00
Closest atoms and distances in Å follow each position.
Positions (direct):
Na: 0.0000 0.0000 0.0000  8 Hg 3.13-3.42
Tl: 0.0174 0.5544 0.7367  1 Au 3.11, 6 Hg 3.22-3.37
Tl: 0.9826 0.4456 0.2633  1 Au 3.11, 6 Hg 3.22-3.37
Hg: 0.2972 0.8091 0.2637  1 Au 3.03, 1 Na 3.16, 5 Hg 3.20-3.35, 1 Tl 3.34
Hg: 0.3233 0.8985 0.7418  5 Hg 3.12-3.35, 1 Na 3.13, 1 Au 3.15, 1 Tl 3.22
Hg: 0.3581 0.3171 0.4941  6 Hg 3.12-3.46, 2 Tl 3.22-3.27, 2 Au 3.31-3.47
Hg: 0.3665 0.3077 0.9996  4 Hg 3.15-3.38, 2 Tl 3.31-3.37, 2 Na 3.32-3.42
Hg: 0.6335 0.6923 0.0004  4 Hg 3.15-3.38, 2 Tl 3.31-3.37, 2 Na 3.32-3.42
Hg: 0.6419 0.6829 0.5059  6 Hg 3.12-3.46, 2 Tl 3.22-3.27, 2 Au 3.31-3.47
Hg: 0.6767 0.1015 0.2582  5 Hg 3.12-3.35, 1 Na 3.13, 1 Au 3.15, 1 Tl 3.22
Hg: 0.7028 0.1909 0.7363  1 Au 3.03, 1 Na 3.16, 5 Hg 3.20-3.35, 1 Tl 3.34
Au: 0.0000 0.0000 0.5000  6 Hg 3.03-3.31, 2 Tl 3.11

Output
Calculated formation energy ... -0.046 eV/atom

Entry 8:
LiCoAu3 | PBE | optimized geometry

abc: 4.8314 4.8314 4.8314
angles: 90.00 90.00 90.00
Closest atoms and distances in Å follow each position.
Positions (direct):
Li: 0.0000 0.0000 0.0000  12 Au 3.42
Co: 0.5000 0.5000 0.5000  6 Au 2.42
Au: 0.0000 0.5000 0.5000  2 Co 2.42
Au: 0.5000 0.0000 0.5000  2 Co 2.42
Au: 0.5000 0.5000 0.0000  2 Co 2.42

Output
Energy above the most stable polymorph in this dataset ... 0.000 eV/atom
Calculated formation energy ... 0.397 eV/atom

Entry 9:
BaPa4Ag3Te12 | PBE | optimized geometry

abc: 9.7222 9.7222 9.7222
angles: 109.47 109.47 109.47
Closest atoms and distances in Å follow each position.
Positions (direct):
Ba: 0.0000 0.0000 0.0000  12 Te 3.94
Pa: 0.0000 0.0000 0.5000  6 Te 3.01
Pa: 0.0000 0.5000 0.0000  6 Te 3.01
Pa: 0.5000 0.0000 0.0000  6 Te 3.01
Pa: 0.5000 0.5000 0.5000  6 Te 3.01
Ag: 0.0000 0.5000 0.5000  4 Te 2.90
Ag: 0.5000 0.0000 0.5000  4 Te 2.90
Ag: 0.5000 0.5000 0.0000  4 Te 2.90
Te: 0.1348 0.8286 0.3062  1 Ag 2.90, 2 Pa 3.01
Te: 0.1714 0.3062 0.4777  1 Ag 2.90, 2 Pa 3.01
Te: 0.1714 0.6938 0.8652  1 Ag 2.90, 2 Pa 3.01
Te: 0.3062 0.1348 0.8286  1 Ag 2.90, 2 Pa 3.01
Te: 0.3062 0.4777 0.1714  1 Ag 2.90, 2 Pa 3.01
Te: 0.4777 0.1714 0.3062  1 Ag 2.90, 2 Pa 3.01
Te: 0.5223 0.8286 0.6938  1 Ag 2.90, 2 Pa 3.01
Te: 0.6938 0.5223 0.8286  1 Ag 2.90, 2 Pa 3.01
Te: 0.6938 0.8652 0.1714  1 Ag 2.90, 2 Pa 3.01
Te: 0.8286 0.3062 0.1348  1 Ag 2.90, 2 Pa 3.01
Te: 0.8286 0.6938 0.5223  1 Ag 2.90, 2 Pa 3.01
Te: 0.8652 0.1714 0.6938  1 Ag 2.90, 2 Pa 3.01

Output
Raw formation energy ... -0.65 eV per atom

Entry 10:
NdHg2Sb | PBE | optimized geometry

abc: 4.5482 4.5482 5.1315
angles: 90.00 90.00 90.00
Closest atoms and distances in Å follow each position.
Positions (direct):
Nd: 0.0000 0.0000 0.0000  4 Sb 3.22, 8 Hg 3.43
Hg: 0.0000 0.5000 0.5000  4 Hg 3.22, 4 Sb 3.43, 4 Nd 3.43
Hg: 0.5000 0.0000 0.5000  4 Hg 3.22, 4 Sb 3.43, 4 Nd 3.43
Sb: 0.5000 0.5000 0.0000  4 Nd 3.22, 8 Hg 3.43

Output
Raw formation energy ... -0.53 eV per atom

Entry 11:
BaYW | PBE | optimized geometry

abc: 4.6650 4.7388 16.2613
angles: 90.00 90.00 90.00
Closest atoms and distances in Å follow each position.
Positions (direct):
Ba: 0.0000 0.0000 0.0000  4 Ba 3.32, 4 W 3.40-3.43
Ba: 0.0000 0.5000 0.5000  4 Ba 3.32, 4 W 3.40-3.43
Ba: 0.5000 0.0000 0.5000  4 Ba 3.32, 4 W 3.40-3.43
Ba: 0.5000 0.5000 0.0000  4 Ba 3.32, 4 W 3.40-3.43
Y: 0.0000 0.0000 0.2712  4 W 3.03-3.06, 4 Y 3.32
Y: 0.0000 0.5000 0.7712  4 W 3.03-3.06, 4 Y 3.32
Y: 0.5000 0.0000 0.7712  4 W 3.03-3.06, 4 Y 3.32
Y: 0.5000 0.5000 0.2712  4 W 3.03-3.06, 4 Y 3.32
W: 0.0000 0.0000 0.6525  4 Y 3.03-3.06, 4 W 3.32
W: 0.0000 0.5000 0.1525  4 Y 3.03-3.06, 4 W 3.32
W: 0.5000 0.0000 0.1525  4 Y 3.03-3.06, 4 W 3.32
W: 0.5000 0.5000 0.6525  4 Y 3.03-3.06, 4 W 3.32

Output
Energy above the most stable polymorph in this dataset ... 0.000 eV/atom
Calculated formation energy ... 0.929 eV/atom

Entry 12:
V2CrSnN | PBE | optimized geometry

abc: 4.0096 4.0096 3.9752
angles: 90.00 90.00 90.00
Closest atoms and distances in Å follow each position.
Positions (direct):
V: 0.0000 0.5000 0.0000  2 N 2.00
V: 0.5000 0.0000 0.0000  2 N 2.00
Cr: 0.0000 0.0000 0.5000  2 N 1.99
Sn: 0.5000 0.5000 0.5000  8 V 2.82, 4 Cr 2.84
N: 0.0000 0.0000 0.0000  2 Cr 1.99, 4 V 2.00

Output
Raw formation energy ... -0.37 eV per atom

Entry 13:
MgTaIn | PBE | optimized geometry

abc: 11.5748 11.5738 3.4721
angles: 81.39 81.36 17.25
Closest atoms and distances in Å follow each position.
Positions (direct):
Mg: 0.1447 0.1447 0.8553  5 Ta 3.00-3.02, 4 In 3.05-3.06
Mg: 0.8553 0.8553 0.1447  5 Ta 3.00-3.02, 4 In 3.05-3.06
Ta: 0.2774 0.2774 0.7226  4 Ta 2.75, 5 Mg 3.00-3.02
Ta: 0.7226 0.7226 0.2774  4 Ta 2.75, 5 Mg 3.00-3.02
In: 0.4357 0.4357 0.5643  1 In 2.91, 4 Mg 3.05-3.06
In: 0.5643 0.5643 0.4357  1 In 2.91, 4 Mg 3.05-3.06

Output
Calculated formation energy ... 0.151 eV/atom

Entry 14:
LiAcVN3 | PBE | optimized geometry

abc: 5.7199 5.7199 5.3881
angles: 90.00 90.00 121.66
Closest atoms and distances in Å follow each position.
Positions (direct):
Li: 0.0680 0.9320 0.7500  5 N 2.01-2.11
Li: 0.9320 0.0680 0.2500  5 N 2.01-2.11
Ac: 0.2219 0.7781 0.2500  8 N 2.74-2.99, 1 Li 2.90
Ac: 0.7781 0.2219 0.7500  8 N 2.74-2.99, 1 Li 2.90
V: 0.4496 0.5504 0.7500  5 N 1.80-1.94
V: 0.5504 0.4496 0.2500  5 N 1.80-1.94
N: 0.2655 0.2655 0.0000  2 V 1.94, 2 Li 2.11
N: 0.2655 0.2655 0.5000  2 V 1.94, 2 Li 2.11
N: 0.2693 0.7307 0.7500  1 V 1.80, 1 Li 2.01
N: 0.7307 0.2693 0.2500  1 V 1.80, 1 Li 2.01
N: 0.7345 0.7345 0.0000  2 V 1.94, 2 Li 2.11
N: 0.7345 0.7345 0.5000  2 V 1.94, 2 Li 2.11

Output
Raw formation energy ... -1.00 eV per atom

Entry 15:
Tb2PrSi2 | PBE | optimized geometry

abc: 4.4597 6.4745 8.5792
angles: 90.00 90.00 90.00
Closest atoms and distances in Å follow each position.
Positions (direct):
Tb: 0.0000 0.0000 0.1987  6 Si 3.06-3.27, 1 Tb 3.41, 2 Pr 3.41
Tb: 0.0000 0.0000 0.8013  6 Si 3.06-3.27, 1 Tb 3.41, 2 Pr 3.41
Tb: 0.5000 0.5000 0.3013  6 Si 3.06-3.27, 1 Tb 3.41, 2 Pr 3.41
Tb: 0.5000 0.5000 0.6987  6 Si 3.06-3.27, 1 Tb 3.41, 2 Pr 3.41
Pr: 0.0000 0.5000 0.0000  4 Si 3.00
Pr: 0.5000 0.0000 0.5000  4 Si 3.00
Si: 0.0000 0.3101 0.5000  1 Si 2.46
Si: 0.0000 0.6899 0.5000  1 Si 2.46
Si: 0.5000 0.1899 0.0000  1 Si 2.46
Si: 0.5000 0.8101 0.0000  1 Si 2.46

Output
Raw formation energy ... -0.57 eV per atom
Energy above the most stable polymorph in this dataset ... 0.049 eV/atom

Entry 16:
TcAuS2 | PBE | optimized geometry

abc: 3.3442 3.3442 23.2669
angles: 90.00 90.00 120.00
Closest atoms and distances in Å follow each position.
Positions (direct):
Tc: 0.0000 0.0000 0.0000  2 S 2.21
Tc: 0.3333 0.6667 0.6667  2 S 2.21
Tc: 0.6667 0.3333 0.3333  2 S 2.21
Au: 0.0000 0.0000 0.5000  6 S 2.55
Au: 0.3333 0.6667 0.1667  6 S 2.55
Au: 0.6667 0.3333 0.8333  6 S 2.55
S: 0.0000 0.0000 0.0951  1 Tc 2.21
S: 0.0000 0.0000 0.9049  1 Tc 2.21
S: 0.3333 0.6667 0.5716  1 Tc 2.21
S: 0.3333 0.6667 0.7618  1 Tc 2.21
S: 0.6667 0.3333 0.2382  1 Tc 2.21
S: 0.6667 0.3333 0.4284  1 Tc 2.21

Output
Raw formation energy ... 0.58 eV per atom
Energy above the most stable polymorph in this dataset ... 0.797 eV/atom

Entry 17:
SrSmAlSe4 | PBE | optimized geometry

abc: 6.8736 7.0098 8.4130
angles: 90.00 107.11 90.00
Closest atoms and distances in Å follow each position.
Positions (direct):
Sr: 0.2457 0.2500 0.0602  6 Se 3.05-3.28
Sr: 0.7543 0.7500 0.9398  6 Se 3.05-3.28
Sm: 0.2251 0.2500 0.5553  6 Se 2.94-3.04
Sm: 0.7749 0.7500 0.4447  6 Se 2.94-3.04
Al: 0.2379 0.7500 0.3169  4 Se 2.36-2.40
Al: 0.7621 0.2500 0.6831  4 Se 2.36-2.40
Se: 0.0037 0.5064 0.7357  1 Al 2.40
Se: 0.0037 0.9936 0.7357  1 Al 2.40
Se: 0.4357 0.7500 0.1301  1 Al 2.36
Se: 0.4406 0.7500 0.5972  1 Al 2.36
Se: 0.5594 0.2500 0.4028  1 Al 2.36
Se: 0.5643 0.2500 0.8699  1 Al 2.36
Se: 0.9963 0.0064 0.2643  1 Al 2.40
Se: 0.9963 0.4936 0.2643  1 Al 2.40

Output
Raw formation energy ... -1.56 eV per atom

Entry 18:
BaAc4Sn5 | PBE | optimized geometry

abc: 3.8352 3.8352 23.4916
angles: 90.00 90.00 90.00
Closest atoms and distances in Å follow each position.
Positions (direct):
Ba: 0.0000 0.0000 0.0000  8 Sn 3.69, 4 Ba 3.84
Ac: 0.0000 0.0000 0.2034  8 Sn 3.54-3.58, 4 Ac 3.84
Ac: 0.0000 0.0000 0.4015  8 Sn 3.56-3.57, 4 Ac 3.84
Ac: 0.0000 0.0000 0.5985  8 Sn 3.56-3.57, 4 Ac 3.84
Ac: 0.0000 0.0000 0.7966  8 Sn 3.54-3.58, 4 Ac 3.84
Sn: 0.5000 0.5000 0.1063  4 Ac 3.54, 4 Ba 3.69, 4 Sn 3.84
Sn: 0.5000 0.5000 0.3029  8 Ac 3.57-3.58, 4 Sn 3.84
Sn: 0.5000 0.5000 0.5000  8 Ac 3.56, 4 Sn 3.84
Sn: 0.5000 0.5000 0.6971  8 Ac 3.57-3.58, 4 Sn 3.84
Sn: 0.5000 0.5000 0.8937  4 Ac 3.54, 4 Ba 3.69, 4 Sn 3.84

Output
Calculated formation energy ... -0.610 eV/atom

Entry 19:
SrLaTl | PBE | optimized geometry

abc: 14.2279 4.0102 8.2527
angles: 90.00 107.94 90.00
Closest atoms and distances in Å follow each position.
Positions (direct):
Sr: 0.0000 0.0000 0.0000  4 Tl 3.43-3.51
Sr: 0.2142 0.5000 0.3641  4 Tl 3.43-3.50
Sr: 0.5000 0.5000 0.0000  4 Tl 3.43-3.51
Sr: 0.7142 0.0000 0.3641  4 Tl 3.43-3.50
La: 0.2144 0.5000 0.8469  4 Tl 3.42-3.50
La: 0.4990 0.5000 0.5154  4 Tl 3.42-3.51
La: 0.7144 0.0000 0.8469  4 Tl 3.42-3.50
La: 0.9990 0.0000 0.5154  4 Tl 3.42-3.51
Tl: 0.3564 0.0000 0.1809  4 La 3.50-3.51, 4 Sr 3.50-3.51
Tl: 0.3573 0.0000 0.6821  4 La 3.42, 4 Sr 3.43
Tl: 0.8564 0.5000 0.1809  4 La 3.50-3.51, 4 Sr 3.50-3.51
Tl: 0.8573 0.5000 0.6821  4 La 3.42, 4 Sr 3.43

Output
Calculated formation energy ... -0.220 eV/atom

Entry 20:
CsKReCl6 | PBE | optimized geometry

abc: 7.9999 7.9999 11.0163
angles: 90.00 90.00 120.00
Closest atoms and distances in Å follow each position.
Positions (direct):
Cs: 0.3333 0.6667 0.2500  6 Cl 3.45
Cs: 0.6667 0.3333 0.7500  6 Cl 3.45
K: 0.0000 0.0000 0.0000  6 Cl 3.33
K: 0.0000 0.0000 0.5000  6 Cl 3.33
Re: 0.3333 0.6667 0.7500  6 Cl 2.38
Re: 0.6667 0.3333 0.2500  6 Cl 2.38
Cl: 0.0977 0.4184 0.6239  1 Re 2.38
Cl: 0.0977 0.6792 0.8761  1 Re 2.38
Cl: 0.3208 0.4184 0.8761  1 Re 2.38
Cl: 0.3208 0.9023 0.6239  1 Re 2.38
Cl: 0.4184 0.0977 0.1239  1 Re 2.38
Cl: 0.4184 0.3208 0.3761  1 Re 2.38
Cl: 0.5816 0.6792 0.6239  1 Re 2.38
Cl: 0.5816 0.9023 0.8761  1 Re 2.38
Cl: 0.6792 0.0977 0.3761  1 Re 2.38
Cl: 0.6792 0.5816 0.1239  1 Re 2.38
Cl: 0.9023 0.3208 0.1239  1 Re 2.38
Cl: 0.9023 0.5816 0.3761  1 Re 2.38

Output
Raw formation energy ... -1.25 eV per atom